No. 1
First-principles (PBE) data for Sr3ZrPd after structural relaxation, as listed in the Alexandria database.

Properties
calculated total energy = -2.7026 eV per atom
polymorph energy (0 for the lowest one) = 72.3 kJ/mol of atoms
formation energy = 1.055 eV per atom

Unit cell a=5.990 b=5.990 c=5.990 alpha=90.00 beta=90.00 gamma=90.00
Fractional positions:
Zr (0.000, 0.000, 0.000)
Sr (0.000, 0.000, 0.500)
Sr (0.500, 0.000, 0.000)
Sr (0.000, 0.500, 0.000)
Pd (0.500, 0.500, 0.500)



No. 2
First-principles (PBE) data for SrZr3Pd after structural relaxation, as listed in the Alexandria database.

Properties
calculated total energy = -4.6151 eV per atom
polymorph energy (0 for the lowest one) = 147.6 kJ/mol of atoms
formation energy = 1.889 eV per atom

Unit cell a=5.072 b=5.072 c=5.072 alpha=90.00 beta=90.00 gamma=90.00
Fractional positions:
Pd (0.500, 0.500, 0.500)
Zr (0.000, 0.500, 0.000)
Zr (0.500, 0.000, 0.000)
Zr (0.000, 0.000, 0.500)
Sr (0.000, 0.000, 0.000)



No. 3
First-principles (PBE) data for Sr3ZrPd after structural relaxation, as listed in the Alexandria database.

Properties
calculated total energy = -3.4521 eV per atom
polymorph energy (0 for the lowest one) = 0.0 kJ/mol of atoms
formation energy = 0.305 eV per atom

Unit cell a=5.863 b=5.863 c=5.863 alpha=90.00 beta=90.00 gamma=90.00
Fractional positions:
Sr (0.000, 0.000, 0.500)
Sr (0.500, 0.000, 0.000)
Sr (0.000, 0.500, 0.000)
Pd (0.000, 0.000, 0.000)
Zr (0.500, 0.500, 0.500)



No. 4
First-principles (PBE) data for SrZr2Pd2 after structural relaxation, as listed in the Alexandria database.

Properties
calculated total energy = -6.1243 eV per atom
polymorph energy (0 for the lowest one) = 9.1 kJ/mol of atoms
formation energy = -0.292 eV per atom

Unit cell a=8.522 b=8.522 c=3.004 alpha=90.00 beta=90.00 gamma=90.00
Fractional positions:
Zr (0.628, 0.128, 0.000)
Zr (0.372, 0.872, 0.000)
Zr (0.128, 0.372, 0.000)
Zr (0.872, 0.628, 0.000)
Sr (0.500, 0.500, 0.000)
Sr (0.000, 0.000, 0.000)
Pd (0.167, 0.667, 0.500)
Pd (0.333, 0.167, 0.500)
Pd (0.833, 0.333, 0.500)
Pd (0.667, 0.833, 0.500)



No. 5
First-principles (PBE) data for Sr2Zr2Pd after structural relaxation, as listed in the Alexandria database.

Properties
calculated total energy = -4.9466 eV per atom
polymorph energy (0 for the lowest one) = 0.0 kJ/mol of atoms
formation energy = 0.184 eV per atom

Unit cell a=7.081 b=7.081 c=5.831 alpha=90.00 beta=90.00 gamma=90.00
Fractional positions:
Sr (0.323, 0.177, 0.500)
Sr (0.677, 0.823, 0.500)
Sr (0.177, 0.677, 0.500)
Sr (0.823, 0.323, 0.500)
Pd (0.000, 0.000, 0.000)
Pd (0.500, 0.500, 0.000)
Zr (0.644, 0.144, 0.000)
Zr (0.356, 0.856, 0.000)
Zr (0.144, 0.356, 0.000)
Zr (0.856, 0.644, 0.000)



No. 6
First-principles (PBE) data for Sr2Zr2Pd after structural relaxation, as listed in the Alexandria database.

Properties
calculated total energy = -4.2060 eV per atom
polymorph energy (0 for the lowest one) = 71.5 kJ/mol of atoms
formation energy = 0.925 eV per atom

Unit cell a=4.195 b=4.195 c=8.707 alpha=76.06 beta=76.06 gamma=90.00
Fractional positions:
Sr (0.250, 0.750, 0.500)
Sr (0.750, 0.250, 0.500)
Pd (0.000, 0.000, 0.000)
Zr (0.575, 0.575, 0.850)
Zr (0.425, 0.425, 0.150)



No. 7
First-principles (PBE) data for SrZr3Pd after structural relaxation, as listed in the Alexandria database.

Properties
calculated total energy = -6.1450 eV per atom
polymorph energy (0 for the lowest one) = 0.0 kJ/mol of atoms
formation energy = 0.359 eV per atom

Unit cell a=5.232 b=5.232 c=5.232 alpha=90.00 beta=90.00 gamma=90.00
Fractional positions:
Zr (0.000, 0.000, 0.500)
Zr (0.000, 0.500, 0.000)
Zr (0.500, 0.000, 0.000)
Pd (0.000, 0.000, 0.000)
Sr (0.500, 0.500, 0.500)



No. 8
First-principles (PBE) data for SrZr2Pd2 after structural relaxation, as listed in the Alexandria database.

Properties
calculated total energy = -6.1158 eV per atom
polymorph energy (0 for the lowest one) = 10.0 kJ/mol of atoms
formation energy = -0.283 eV per atom

Unit cell a=8.214 b=8.214 c=3.325 alpha=90.00 beta=90.00 gamma=90.00
Fractional positions:
Zr (0.844, 0.344, 0.500)
Zr (0.656, 0.844, 0.500)
Zr (0.156, 0.656, 0.500)
Zr (0.344, 0.156, 0.500)
Pd (0.626, 0.126, 0.000)
Pd (0.126, 0.374, 0.000)
Pd (0.874, 0.626, 0.000)
Pd (0.374, 0.874, 0.000)
Sr (0.000, 0.000, 0.000)
Sr (0.500, 0.500, 0.000)



No. 9
First-principles (PBE) data for Sr2Zr2Pd after structural relaxation, as listed in the Alexandria database.

Properties
calculated total energy = -4.2799 eV per atom
polymorph energy (0 for the lowest one) = 64.3 kJ/mol of atoms
formation energy = 0.851 eV per atom

Unit cell a=9.391 b=9.391 c=3.522 alpha=90.00 beta=90.00 gamma=90.00
Fractional positions:
Zr (0.100, 0.600, 0.500)
Zr (0.900, 0.400, 0.500)
Zr (0.400, 0.100, 0.500)
Zr (0.600, 0.900, 0.500)
Sr (0.198, 0.302, 0.000)
Sr (0.698, 0.198, 0.000)
Sr (0.302, 0.802, 0.000)
Sr (0.802, 0.698, 0.000)
Pd (0.500, 0.500, 0.000)
Pd (0.000, 0.000, 0.000)



No. 10
First-principles (PBE) data for TaPd5 after structural relaxation, as listed in the Alexandria database.

Properties
calculated total energy = -6.6340 eV per atom
formation energy = -0.331 eV per atom

Unit cell a=4.857 b=5.603 c=8.459 alpha=90.00 beta=90.00 gamma=125.85
Fractional positions:
Pd (0.250, 0.000, 0.086)
Pd (0.750, 0.000, 0.914)
Pd (0.250, 0.500, 0.416)
Pd (0.250, 0.000, 0.414)
Pd (0.750, 0.000, 0.586)
Pd (0.250, 0.500, 0.084)
Pd (0.250, 0.000, 0.750)
Pd (0.750, 0.500, 0.916)
Pd (0.750, 0.500, 0.584)
Pd (0.750, 0.000, 0.250)
Ta (0.250, 0.500, 0.750)
Ta (0.750, 0.500, 0.250)



No. 11
First-principles (PBE) data for TaPd after structural relaxation, as listed in the Alexandria database.

Properties
calculated total energy = -8.8215 eV per atom
formation energy = -0.299 eV per atom

Unit cell a=2.816 b=2.816 c=4.132 alpha=90.00 beta=90.00 gamma=90.00
Fractional positions:
Pd (0.000, 0.000, 0.000)
Ta (0.500, 0.500, 0.500)



No. 12
First-principles (PBE) data for TaPd after structural relaxation, as listed in the Alexandria database.

Properties
calculated total energy = -7.3896 eV per atom
formation energy = 1.133 eV per atom

Unit cell a=7.984 b=7.984 c=7.984 alpha=90.00 beta=90.00 gamma=90.00
Fractional positions:
Pd (0.312, 0.312, 0.688)
Pd (0.188, 0.812, 0.812)
Pd (0.688, 0.312, 0.312)
Pd (0.688, 0.688, 0.688)
Pd (0.812, 0.188, 0.812)
Pd (0.312, 0.688, 0.312)
Pd (0.188, 0.188, 0.188)
Pd (0.812, 0.812, 0.188)
Ta (0.128, 0.128, 0.872)
Ta (0.372, 0.372, 0.372)
Ta (0.872, 0.872, 0.872)
Ta (0.628, 0.628, 0.372)
Ta (0.372, 0.628, 0.628)
Ta (0.628, 0.372, 0.628)
Ta (0.128, 0.872, 0.128)
Ta (0.872, 0.128, 0.128)